No. 1
Below is an optimized crystal structure of AgW3Br, with properties calculated at the PBE-GGA level.

a = 4.602 Å, b = 4.602 Å, c = 4.602 Å
α = 90.00°, β = 90.00°, γ = 90.00°
Space group Pm-3m (No. 221)
Unique sites:
Ag 0.000 0.000 0.000 [1 per cell]
W 0.000 0.500 0.500 [3 per cell]
Br 0.500 0.500 0.500 [1 per cell]

Calculated values
The density of states at the Fermi level comes out at 0.552 states/eV/atom. The value obtained for the magnetization is 0.00 μB per cell. The value obtained for the polymorph energy (0 for the lowest one) is 0.00 eV per formula unit.

No. 2
Below is an optimized crystal structure of HoEr2P3Rh12, with properties calculated at the PBE-GGA level.

a = 8.9191 Å, b = 8.9191 Å, c = 12.8038 Å
α = 90.00°, β = 90.00°, γ = 120.00°
Space group R-3m (No. 166, hexagonal axes)
Unique sites:
Ho 0.0000 0.0000 0.0000 [3 per cell]
Er 0.0000 0.0000 0.3727 [6 per cell]
P 0.0000 0.5000 0.5000 [9 per cell]
Rh 0.0119 0.5060 0.3260 [18 per cell]
Rh 0.0241 0.5121 0.8825 [18 per cell]

Calculated values
The density of states at the Fermi level comes out at 0.873 states/eV/atom. The value obtained for the formation energy is -41.8 kJ/mol of atoms. The value obtained for the magnetization is 0.00 μB per cell.

No. 3
Below is an optimized crystal structure of PaVOs, with properties calculated at the PBE-GGA level.

a = 3.019 Å, b = 3.019 Å, c = 11.705 Å
α = 90.00°, β = 90.00°, γ = 90.00°
Space group I4mm (No. 107)
Unique sites:
Pa 0.000 0.000 0.000 [2 per cell]
V 0.000 0.000 0.694 [2 per cell]
Os 0.000 0.000 0.309 [2 per cell]

Calculated values
The density of states at the Fermi level comes out at 1.419 states/eV/atom. The value obtained for the formation energy is -11.5 kJ/mol of atoms. The value obtained for the magnetization is 0.00 μB per cell. The value obtained for the polymorph energy (0 for the lowest one) is 0.57 eV per formula unit.

No. 4
Below is an optimized crystal structure of CaPbC3, with properties calculated at the PBE-GGA level.

a = 4.506 Å, b = 4.506 Å, c = 4.506 Å
α = 90.00°, β = 90.00°, γ = 90.00°
Space group Pm-3m (No. 221)
Unique sites:
Ca 0.000 0.000 0.000 [1 per cell]
Pb 0.500 0.500 0.500 [1 per cell]
C 0.000 0.500 0.500 [3 per cell]

Calculated values
The density of states at the Fermi level comes out at 0.835 states/eV/atom. The value obtained for the formation energy is 246.1 kJ/mol of atoms. The value obtained for the magnetization is 0.00 μB per cell. The value obtained for the polymorph energy (0 for the lowest one) is 0.00 eV per formula unit.

No. 5
Below is an optimized crystal structure of La2Tb5PrEr, with properties calculated at the PBE-GGA level.

a = 8.728 Å, b = 8.728 Å, c = 15.886 Å
α = 90.00°, β = 90.00°, γ = 90.00°
Space group I4/mcm (No. 140)
Unique sites:
La 0.118 0.382 0.000 [8 per cell]
Tb 0.000 0.000 0.000 [4 per cell]
Tb 0.216 0.284 0.359 [16 per cell]
Pr 0.000 0.000 0.250 [4 per cell]
Er 0.000 0.500 0.250 [4 per cell]

Calculated values
The density of states at the Fermi level comes out at 1.406 states/eV/atom. The value obtained for the formation energy is 24.5 kJ/mol of atoms. The value obtained for the magnetization is 0.00 μB per cell.

No. 6
Below is an optimized crystal structure of Th4Ga2Tc, with properties calculated at the PBE-GGA level.

a = 7.622 Å, b = 11.842 Å, c = 4.533 Å
α = 90.00°, β = 90.00°, γ = 90.00°
Space group Pbam (No. 55)
Unique sites:
Th 0.149 0.208 0.000 [4 per cell]
Th 0.225 0.945 0.500 [4 per cell]
Ga 0.079 0.685 0.500 [4 per cell]
Tc 0.000 0.000 0.000 [2 per cell]

Calculated values
The density of states at the Fermi level comes out at 1.223 states/eV/atom. The value obtained for the formation energy is -16.6 kJ/mol of atoms. The value obtained for the magnetization is 0.00 μB per cell.

No. 7
Below is an optimized crystal structure of HoZnCuPd, with properties calculated at the PBE-GGA level.

a = 6.549 Å, b = 6.549 Å, c = 6.549 Å
α = 90.00°, β = 90.00°, γ = 90.00°
Space group F-43m (No. 216)
Unique sites:
Ho 0.000 0.000 0.000 [4 per cell]
Zn 0.000 0.000 0.500 [4 per cell]
Cu 0.250 0.250 0.250 [4 per cell]
Pd 0.250 0.250 0.750 [4 per cell]

Calculated values
The density of states at the Fermi level comes out at 0.681 states/eV/atom. The value obtained for the formation energy is -43.9 kJ/mol of atoms. The value obtained for the magnetization is 0.00 μB per cell.

No. 8
Below is an optimized crystal structure of Er2TmPa, with properties calculated at the PBE-GGA level.

a = 3.4001 Å, b = 3.4001 Å, c = 34.1833 Å
α = 90.00°, β = 90.00°, γ = 120.00°
Space group R3m (No. 160, hexagonal axes)
Unique sites:
Er 0.0000 0.0000 0.0000 [3 per cell]
Er 0.0000 0.0000 0.1627 [3 per cell]
Tm 0.0000 0.0000 0.5816 [3 per cell]
Pa 0.0000 0.0000 0.7474 [3 per cell]

Calculated values
The density of states at the Fermi level comes out at 1.579 states/eV/atom. The value obtained for the formation energy is 9.6 kJ/mol of atoms. The value obtained for the magnetization is 0.00 μB per cell. The value obtained for the polymorph energy (0 for the lowest one) is 0.00 eV per formula unit.